# 1
VASP calculation (GGA-PBE) on an optimized crystal structure of Sr3In5Hg6. Values from VASP.

Cell and atoms, written as Quantum ESPRESSO input:
```
&SYSTEM
  ibrav = 0, nat = 28, ntyp = 3
/
ATOMIC_SPECIES
Sr 87.62 Sr.upf
In 114.82 In.upf
Hg 200.59 Hg.upf
ATOMIC_POSITIONS angstrom
Sr 1.2613 0.7217 2.6397
Sr 1.2613 6.5359 2.6397
Sr 1.2613 10.8864 2.5924
Sr 3.7838 3.6288 8.0745
Sr 3.7838 7.9793 8.0273
Sr 3.7838 13.7935 8.0273
In 1.2613 1.3868 9.4610
In 1.2613 5.8708 9.4610
In 1.2613 8.8546 5.6203
In 1.2613 10.8864 8.0847
In 1.2613 12.9183 5.6203
In 3.7838 1.5970 5.0466
In 3.7838 3.6288 2.5822
In 3.7838 5.6607 5.0466
In 3.7838 8.6444 1.2059
In 3.7838 13.1284 1.2059
Hg 1.2613 1.3099 6.5815
Hg 1.2613 3.6288 0.7690
Hg 1.2613 3.6288 4.5673
Hg 1.2613 5.9477 6.5815
Hg 1.2613 8.7243 10.3706
Hg 1.2613 13.0486 10.3706
Hg 3.7838 1.4666 0.2964
Hg 3.7838 5.7910 0.2964
Hg 3.7838 8.5675 4.0854
Hg 3.7838 10.8864 6.0997
Hg 3.7838 10.8864 9.8980
Hg 3.7838 13.2054 4.0854
CELL_PARAMETERS angstrom
5.0450 0.0000 0.0000
0.0000 14.5152 0.0000
0.0000 0.0000 10.6669
```

Results
ΔH_f (0 K), eV per atom: -0.33

---

# 2
VASP calculation (GGA-PBE) on an optimized crystal structure of NdHoGa. Values from VASP.

Cell and atoms, written as Quantum ESPRESSO input:
```
&SYSTEM
  ibrav = 0, nat = 9, ntyp = 3
/
ATOMIC_SPECIES
Nd 144.24 Nd.upf
Ho 164.93 Ho.upf
Ga 69.72 Ga.upf
ATOMIC_POSITIONS angstrom
Nd -2.3960 4.1500 0.0000
Nd 1.5929 2.7589 0.0000
Nd 4.7920 0.0000 0.0000
Ho -1.0606 1.8370 2.2399
Ho 2.1212 0.0000 2.2399
Ho 2.9283 5.0719 2.2399
Ga 0.0000 0.0000 0.0000
Ga 0.0000 4.6060 2.2399
Ga 3.9889 2.3030 2.2399
CELL_PARAMETERS angstrom
7.9777 0.0000 0.0000
-3.9889 6.9089 0.0000
0.0000 0.0000 4.4797
```

Results
ΔH_f (0 K), eV per atom: -0.40
Energy relative to the lowest polymorph listed for this composition, eV/atom: 0.000

---

# 3
VASP calculation (GGA-PBE) on an optimized crystal structure of NdSmErLu. Values from VASP.

Cell and atoms, written as Quantum ESPRESSO input:
```
&SYSTEM
  ibrav = 0, nat = 4, ntyp = 4
/
ATOMIC_SPECIES
Nd 144.24 Nd.upf
Sm 150.36 Sm.upf
Er 167.26 Er.upf
Lu 174.97 Lu.upf
ATOMIC_POSITIONS angstrom
Nd 0.0000 0.0000 0.0000
Sm 4.0194 4.0194 4.0194
Er 6.0292 6.0292 6.0292
Lu 2.0097 2.0097 2.0097
CELL_PARAMETERS angstrom
0.0000 4.0194 4.0194
4.0194 0.0000 4.0194
4.0194 4.0194 0.0000
```

Results
ΔH_f (0 K), eV per atom: 0.10

---

# 4
VASP calculation (GGA-PBE) on an optimized crystal structure of Mg2GaGe. Values from VASP.

Cell and atoms, written as Quantum ESPRESSO input:
```
&SYSTEM
  ibrav = 0, nat = 4, ntyp = 3
/
ATOMIC_SPECIES
Mg 24.30 Mg.upf
Ga 69.72 Ga.upf
Ge 72.64 Ge.upf
ATOMIC_POSITIONS angstrom
Mg 0.0000 0.0000 0.0000
Mg 0.0000 0.0000 2.9300
Ga 0.0000 0.0000 8.7586
Ge 0.0000 0.0000 11.4506
CELL_PARAMETERS angstrom
2.2601 1.3049 4.8992
-2.2601 1.3049 4.8992
0.0000 -2.6098 4.8992
```

Results
ΔH_f (0 K), eV per atom: 0.02

---

# 5
VASP calculation (GGA-PBE) on an optimized crystal structure of Dy2NbB2Ru5. Values from VASP.

Cell and atoms, written as Quantum ESPRESSO input:
```
&SYSTEM
  ibrav = 0, nat = 20, ntyp = 4
/
ATOMIC_SPECIES
Dy 162.50 Dy.upf
Nb 92.91 Nb.upf
B 10.81 B.upf
Ru 101.07 Ru.upf
ATOMIC_POSITIONS angstrom
Dy 1.6960 3.1472 0.0000
Dy 3.1472 7.9904 0.0000
Dy 6.5393 1.6960 0.0000
Dy 7.9904 6.5393 0.0000
Nb 0.0000 0.0000 0.0000
Nb 4.8432 4.8432 0.0000
B 1.1662 6.0094 0.0000
B 3.6770 1.1662 0.0000
B 6.0094 8.5202 0.0000
B 8.5202 3.6770 0.0000
Ru 0.0000 4.8432 1.5657
Ru 0.6883 7.5732 1.5657
Ru 2.1132 0.6883 1.5657
Ru 2.7300 5.5315 1.5657
Ru 4.1549 2.7300 1.5657
Ru 4.8432 0.0000 1.5657
Ru 5.5315 6.9564 1.5657
Ru 6.9564 4.1549 1.5657
Ru 7.5732 8.9982 1.5657
Ru 8.9982 2.1132 1.5657
CELL_PARAMETERS angstrom
9.6864 0.0000 0.0000
0.0000 9.6864 0.0000
0.0000 0.0000 3.1315
```

Results
ΔH_f (0 K), eV per atom: -0.48

---

# 6
VASP calculation (GGA-PBE) on an optimized crystal structure of TbPuTcPd. Values from VASP.

Cell and atoms, written as Quantum ESPRESSO input:
```
&SYSTEM
  ibrav = 0, nat = 4, ntyp = 4
/
ATOMIC_SPECIES
Tb 158.93 Tb.upf
Pu 244.00 Pu.upf
Tc 98.00 Tc.upf
Pd 106.42 Pd.upf
ATOMIC_POSITIONS angstrom
Tb 0.0000 0.0000 0.0000
Pu 3.4509 3.4509 3.4509
Tc 5.1763 5.1763 5.1763
Pd 1.7254 1.7254 1.7254
CELL_PARAMETERS angstrom
0.0000 3.4509 3.4509
3.4509 0.0000 3.4509
3.4509 3.4509 0.0000
```

Results
ΔH_f (0 K), eV per atom: -0.22

---

# 7
VASP calculation (GGA-PBE) on an optimized crystal structure of Th3Sb2H. Values from VASP.

Cell and atoms, written as Quantum ESPRESSO input:
```
&SYSTEM
  ibrav = 0, nat = 12, ntyp = 3
/
ATOMIC_SPECIES
Th 232.04 Th.upf
Sb 121.76 Sb.upf
H 1.01 H.upf
ATOMIC_POSITIONS angstrom
Th 5.6180 3.0795 4.8065
Th 3.8210 0.0000 0.0000
Th 3.8210 0.0000 3.2043
Th 7.4149 0.0000 0.0000
Th 7.4149 0.0000 3.2043
Th 5.6180 -3.0795 1.6022
Sb 4.0596 2.8111 1.6022
Sb 7.1764 2.8111 1.6022
Sb 4.0596 -2.8111 4.8065
Sb 7.1764 -2.8111 4.8065
H 5.6180 0.6922 4.8065
H 5.6180 -0.6922 1.6022
CELL_PARAMETERS angstrom
5.6180 -4.3922 0.0000
5.6180 4.3922 0.0000
0.0000 0.0000 6.4086
```

Results
Uncorrected energy, Ry per atom: -0.448

---

# 8
VASP calculation (GGA-PBE) on an optimized crystal structure of Ac6BiPt4. Values from VASP.

Cell and atoms, written as Quantum ESPRESSO input:
```
&SYSTEM
  ibrav = 0, nat = 22, ntyp = 3
/
ATOMIC_SPECIES
Ac 227.00 Ac.upf
Bi 208.98 Bi.upf
Pt 195.08 Pt.upf
ATOMIC_POSITIONS angstrom
Ac 0.0000 0.0000 0.0000
Ac 0.0000 0.0000 11.2872
Ac 2.2453 4.9014 16.9308
Ac 2.2453 3.3781 1.8330
Ac 2.2453 3.3781 9.4543
Ac 2.2453 0.5374 14.8151
Ac 2.2453 0.5374 19.0465
Ac 2.2453 -0.5374 3.5279
Ac 2.2453 -0.5374 7.7593
Ac 2.2453 -3.3781 13.1202
Ac 2.2453 -3.3781 20.7415
Ac 2.2453 -4.9014 5.6436
Bi 2.2453 5.0667 5.6436
Bi 2.2453 -5.0667 16.9308
Pt 2.2453 5.9216 14.0884
Pt 2.2453 5.9216 19.7732
Pt 2.2453 2.0094 12.2252
Pt 2.2453 2.0094 21.6364
Pt 2.2453 -2.0094 0.9380
Pt 2.2453 -2.0094 10.3492
Pt 2.2453 -5.9216 2.8012
Pt 2.2453 -5.9216 8.4860
CELL_PARAMETERS angstrom
2.2453 -7.3447 0.0000
2.2453 7.3447 0.0000
0.0000 0.0000 22.5744
```

Results
ΔH_f (0 K), eV per atom: -1.05